[1]
PuHg2Pb2 after structural relaxation. Source: the Alexandria database, functional PBE-GGA. Values from VASP.

Geometry as Quantum ESPRESSO input:
```
&SYSTEM
  ibrav = 0, nat = 5, ntyp = 3
/
ATOMIC_SPECIES
Hg 200.59 Hg.upf
Pb 207.20 Pb.upf
Pu 244.00 Pu.upf
CELL_PARAMETERS angstrom
3.379 0.000 0.789
1.597 2.978 0.789
-1.449 -0.867 13.830
ATOMIC_POSITIONS angstrom
Hg 1.079 0.645 3.009
Pb 1.392 0.833 9.296
Pu 0.000 0.000 0.000
Pb 2.135 1.278 6.113
Hg 2.448 1.465 12.400
```

Values from the calculation:
- total magnetic moment (Bohr magnetons per cell) = 6.10
- N(E_F) (states/eV per atom) = 1.9611
- E_form (kJ per mole of atoms) = 1.5

***

[2]
SrTmCdPt after structural relaxation. Source: the Alexandria database, functional PBE-GGA. Values from VASP.

Geometry as Quantum ESPRESSO input:
```
&SYSTEM
  ibrav = 0, nat = 4, ntyp = 4
/
ATOMIC_SPECIES
Cd 112.41 Cd.upf
Tm 168.93 Tm.upf
Pt 195.08 Pt.upf
Sr 87.62 Sr.upf
CELL_PARAMETERS angstrom
5.199 0.000 0.000
2.600 4.503 0.000
2.600 1.501 4.245
ATOMIC_POSITIONS angstrom
Cd 2.600 1.501 1.061
Tm 0.000 0.000 0.000
Pt 7.799 4.503 3.184
Sr 5.199 3.002 2.123
```

Values from the calculation:
- total magnetic moment (Bohr magnetons per cell) = 0.00
- N(E_F) (states/eV per atom) = 0.7327
- E_form (kJ per mole of atoms) = -51.4

***

[3]
Zn2Ni2Au after structural relaxation. Source: the Alexandria database, functional PBE-GGA. Values from VASP.

Geometry as Quantum ESPRESSO input:
```
&SYSTEM
  ibrav = 0, nat = 5, ntyp = 3
/
ATOMIC_SPECIES
Zn 65.41 Zn.upf
Ni 58.69 Ni.upf
Au 196.97 Au.upf
CELL_PARAMETERS angstrom
-2.495 3.317 0.662
-1.034 -3.755 1.580
2.476 1.044 4.101
ATOMIC_POSITIONS angstrom
Zn -0.078 1.774 4.165
Zn -0.974 -1.167 2.179
Ni 0.219 -0.665 4.154
Au 0.000 0.000 0.000
Ni -1.271 1.271 2.189
```

Values from the calculation:
- total magnetic moment (Bohr magnetons per cell) = 0.00
- N(E_F) (states/eV per atom) = 0.2841
- distance to the lowest polymorph of the same formula (meV/atom) = 177.5
- E_form (kJ per mole of atoms) = 4.8

***

[4]
Cs3SmNp3Se8 after structural relaxation. Source: the Alexandria database, functional PBE-GGA. Values from VASP.

Geometry as Quantum ESPRESSO input:
```
&SYSTEM
  ibrav = 0, nat = 15, ntyp = 4
/
ATOMIC_SPECIES
Se 78.96 Se.upf
Np 237.00 Np.upf
Cs 132.91 Cs.upf
Sm 150.36 Sm.upf
CELL_PARAMETERS angstrom
-1.613 -4.668 6.955
0.231 -3.718 -7.672
8.684 2.584 3.748
ATOMIC_POSITIONS angstrom
Se 2.311 -0.656 2.758
Np 3.536 -1.042 5.351
Cs 0.000 0.000 0.000
Se 2.446 -2.479 -1.097
Se 5.784 -2.853 -3.142
Se 4.992 -5.145 0.273
Cs -0.691 -4.193 -0.359
Se 5.670 -1.027 0.626
Cs 0.116 -1.859 -3.836
Np 4.458 -0.567 -1.962
Se 4.857 -3.323 4.127
Np 3.652 -2.901 1.515
Se 1.633 -4.775 2.405
Se 1.519 -2.948 6.173
Sm 4.342 1.292 1.874
```

Values from the calculation:
- total magnetic moment (Bohr magnetons per cell) = 11.00
- N(E_F) (states/eV per atom) = 1.7688
- E_tot (hartree per atom) = -0.231